Entry 1:
This record from Alexandria describes MgCrBi2 after structural relaxation. The functional is PBE.

POSCAR file:
```
MgCrBi2
1.0
6.380 0.000 0.000
0.000 6.380 0.000
3.190 3.190 6.737
Cr Mg Bi
2 2 4
Direct
0.000 0.000 0.000 Cr
0.750 0.250 0.500 Cr
0.500 0.500 0.000 Mg
0.250 0.750 0.500 Mg
0.665 0.125 0.250 Bi
0.085 0.625 0.250 Bi
0.375 0.335 0.750 Bi
0.875 0.915 0.750 Bi
```

Calculated values
Calculated total energy = -0.314 Ry/atom
ΔE_f = 0.476 eV/atom

---

Entry 2:
This record from Alexandria describes Zr5Zn after structural relaxation. The functional is PBE.

POSCAR file:
```
Zr5Zn
1.0
0.000 4.094 4.094
4.094 0.000 4.094
4.094 4.094 0.000
Zr Zn
5 1
Direct
0.623 0.623 0.131 Zr
0.250 0.250 0.250 Zr
0.623 0.623 0.623 Zr
0.131 0.623 0.623 Zr
0.623 0.131 0.623 Zr
0.000 0.000 0.000 Zn
```

Calculated values
Calculated total energy = -0.515 Ry/atom
E above lowest polymorph = 394 meV/atom
ΔE_f = 0.330 eV/atom

---

Entry 3:
This record from Alexandria describes LaCuSi2Pt after structural relaxation. The functional is PBE.

POSCAR file:
```
LaCuSi2Pt
1.0
4.219 0.000 0.000
0.000 4.219 0.000
-2.110 -2.110 5.026
La Cu Si Pt
1 1 2 1
Direct
0.000 0.000 0.000 La
0.250 0.750 0.500 Cu
0.621 0.621 0.242 Si
0.379 0.379 0.758 Si
0.750 0.250 0.500 Pt
```

Calculated values
Calculated total energy = -0.443 Ry/atom
Formation energy without anion corrections = -0.84 eV/atom

---

Entry 4:
This record from Alexandria describes ReNi2S4 after structural relaxation. The functional is PBE.

POSCAR file:
```
ReNi2S4
1.0
-0.346 3.029 -3.649
-4.243 1.437 1.595
0.148 6.121 1.968
Re S Ni
1 4 2
Direct
0.000 0.000 0.000 Re
0.207 0.207 0.586 S
0.793 0.793 0.414 S
0.000 0.500 0.000 S
0.500 0.000 0.000 S
0.396 0.396 0.209 Ni
0.604 0.604 0.791 Ni
```

Calculated values
Calculated total energy = -0.403 Ry/atom
Formation energy without anion corrections = 0.31 eV/atom

---

Entry 5:
This record from Alexandria describes Mg2Zn3Se7 after structural relaxation. The functional is PBE.

POSCAR file:
```
Mg2Zn3Se7
1.0
-8.519 5.483 6.815
-11.271 4.155 2.192
-10.534 0.362 6.164
Zn Mg Se
3 2 7
Direct
0.000 0.000 0.000 Zn
0.831 0.831 0.831 Zn
0.169 0.169 0.169 Zn
0.667 0.667 0.667 Mg
0.333 0.333 0.333 Mg
0.500 0.500 0.500 Se
0.437 0.437 0.936 Se
0.437 0.936 0.437 Se
0.936 0.437 0.437 Se
0.563 0.563 0.064 Se
0.064 0.563 0.563 Se
0.563 0.064 0.563 Se
```

Calculated values
Calculated total energy = -0.188 Ry/atom
Formation energy without anion corrections = 0.06 eV/atom

---

Entry 6:
This record from Alexandria describes Ga2Sb2I after structural relaxation. The functional is PBE.

POSCAR file:
```
Ga2Sb2I
1.0
-1.012 0.521 4.246
2.209 -3.673 0.977
6.709 2.357 3.585
I Sb Ga
1 2 2
Direct
0.000 0.000 0.000 I
0.750 0.250 0.500 Sb
0.250 0.750 0.500 Sb
0.406 0.406 0.188 Ga
0.594 0.594 0.812 Ga
```

Calculated values
Calculated total energy = -0.232 Ry/atom
Formation energy without anion corrections = 0.02 eV/atom
E above lowest polymorph = 28 meV/atom

---

Entry 7:
This record from Alexandria describes Tl2BiSbPd after structural relaxation. The functional is PBE.

POSCAR file:
```
Tl2BiSbPd
1.0
-2.148 4.238 3.227
-2.171 -3.997 3.804
4.894 0.197 3.000
Sb Tl Bi Pd
1 2 1 1
Direct
0.000 0.000 0.000 Sb
0.000 0.000 0.500 Tl
0.500 0.000 0.000 Tl
0.000 0.500 0.000 Bi
0.500 0.500 0.500 Pd
```

Calculated values
Calculated total energy = -0.204 Ry/atom
Formation energy without anion corrections = 0.81 eV/atom

---

Entry 8:
This record from Alexandria describes CeZrS4 after structural relaxation. The functional is PBE.

POSCAR file:
```
CeZrS4
1.0
-0.747 -1.067 -3.745
-2.491 -5.382 2.030
-5.614 2.769 0.331
Ce Zr S
1 1 4
Direct
0.500 0.000 0.000 Ce
0.000 0.500 0.500 Zr
0.000 0.207 0.207 S
0.000 0.793 0.793 S
0.500 0.687 0.313 S
0.500 0.313 0.687 S
```

Calculated values
Calculated total energy = -0.489 Ry/atom
Formation energy without anion corrections = -1.49 eV/atom
E above lowest polymorph = 95 meV/atom

---

Entry 9:
This record from Alexandria describes Y2ZnS after structural relaxation. The functional is PBE.

POSCAR file:
```
Y2ZnS
1.0
-1.015 2.068 -2.982
-0.908 -1.690 -3.244
-7.975 -0.237 0.167
Y Zn S
2 1 1
Direct
0.088 0.088 0.737 Y
0.246 0.246 0.262 Y
0.667 0.667 0.998 Zn
0.499 0.499 0.503 S
```

Calculated values
Calculated total energy = -0.412 Ry/atom
Formation energy without anion corrections = -1.02 eV/atom
E above lowest polymorph = 165 meV/atom